1.
{"formula": "InRh2Au", "functional": "PBE", "state": "optimized geometry", "dos_ef_per_ev_cell": 4.35, "energy_ev_per_atom": -5.2509, "formation_enthalpy_0k_kj_per_mol_fu": -27.5, "lattice_angstrom": [[-4.262, 0.188, 2.529], [-2.689, -2.125, 3.585], [1.262, 2.608, 3.834]], "species": ["Au", "In", "Rh", "Rh"], "frac_coords": [[0.502, 0.502, 0.487], [0.745, 0.745, 0.762], [0.255, 0.255, 0.250], [0.997, 0.997, 0.001]]}

2.
{"formula": "CaHfGa4", "functional": "PBE", "state": "optimized geometry", "dos_ef_per_ev_cell": 3.57, "energy_ev_per_atom": -4.3043, "formation_enthalpy_0k_kj_per_mol_fu": -170.1, "lattice_angstrom": [[-1.210, 0.444, -5.245], [1.847, -3.660, -3.517], [-3.411, -3.506, -2.291]], "species": ["Ga", "Ga", "Ga", "Ga", "Hf", "Ca"], "frac_coords": [[0.625, 0.124, 0.625], [0.625, 0.625, 0.124], [0.625, 0.625, 0.625], [0.124, 0.625, 0.625], [0.000, 0.000, 0.000], [0.250, 0.250, 0.250]]}

What did the first record say?
{"formula": "InRh2Au", "functional": "PBE", "state": "optimized geometry", "dos_ef_per_ev_cell": 4.35, "energy_ev_per_atom": -5.2509, "formation_enthalpy_0k_kj_per_mol_fu": -27.5, "lattice_angstrom": [[-4.262, 0.188, 2.529], [-2.689, -2.125, 3.585], [1.262, 2.608, 3.834]], "species": ["Au", "In", "Rh", "Rh"], "frac_coords": [[0.502, 0.502, 0.487], [0.745, 0.745, 0.762], [0.255, 0.255, 0.250], [0.997, 0.997, 0.001]]}